(1)
An optimized crystal structure of AgW2Br, computed with PBE.

Geometry as extended XYZ:
```
16
Lattice="3.8528 0.0000 0.0000 0.0000 3.8528 0.0000 0.0000 0.0000 20.7857" Properties=species:S:1:pos:R:3 pbc="T T T"
Ag 0.0000 0.0000 0.0000
Ag 0.0000 1.9264 5.1964
Ag 1.9264 0.0000 15.5893
Ag 1.9264 1.9264 10.3929
W 0.8401 0.9632 2.5982
W 0.9632 2.7665 7.7946
W 0.9632 3.0127 18.1875
W 1.0863 0.9632 12.9911
W 2.7665 2.8896 12.9911
W 2.8896 0.8401 18.1875
W 2.8896 1.0863 7.7946
W 3.0127 2.8896 2.5982
Br 0.0000 0.0000 10.3929
Br 0.0000 1.9264 15.5893
Br 1.9264 0.0000 5.1964
Br 1.9264 1.9264 0.0000
```

Results
ΔE_f (raw): 5.0 eV per formula unit
energy above the lowest structure with this stoichiometry: 760 meV/atom



(2)
An optimized crystal structure of La4Cu, computed with PBE.

Geometry as extended XYZ:
```
10
Lattice="6.9797 0.0000 0.0000 0.0000 6.9797 0.0000 0.0000 0.0000 6.9797" Properties=species:S:1:pos:R:3 pbc="T T T"
La 1.7449 1.7449 1.7449
La 1.7449 1.7449 5.2348
La 1.7449 5.2348 1.7449
La 1.7449 5.2348 5.2348
La 5.2348 1.7449 1.7449
La 5.2348 1.7449 5.2348
La 5.2348 5.2348 1.7449
La 5.2348 5.2348 5.2348
Cu 0.0000 0.0000 0.0000
Cu 3.4899 3.4899 3.4899
```

Results
formation energy from the elements: 0.27 eV per atom
energy above the lowest structure with this stoichiometry: 322 meV/atom



(3)
An optimized crystal structure of Li5HoAg6, computed with PBE.

Geometry as extended XYZ:
```
12
Lattice="7.3087 -3.2174 0.0000 7.3087 3.2174 0.0000 -1.4264 0.0000 4.4993" Properties=species:S:1:pos:R:3 pbc="T T T"
Li 0.0000 0.0000 0.0000
Li 1.4973 0.0000 3.0061
Li 4.4609 0.0000 1.5391
Li 8.7300 0.0000 2.9602
Li 11.6936 0.0000 1.4932
Ho 7.3087 0.0000 0.0000
Ag 3.5570 1.6877 3.7117
Ag 6.5955 1.7772 2.2496
Ag 9.6340 1.6877 0.7876
Ag 3.5570 -1.6877 3.7117
Ag 6.5955 -1.7772 2.2496
Ag 9.6340 -1.6877 0.7876
```

Results
formation energy from the elements: -0.20 eV per atom
energy above the lowest structure with this stoichiometry: 0 meV/atom



(4)
An optimized crystal structure of SmSn2Pb2, computed with PBE.

Geometry as extended XYZ:
```
10
Lattice="2.2949 -13.7495 0.0000 2.2949 13.7495 0.0000 0.0000 0.0000 4.6013" Properties=species:S:1:pos:R:3 pbc="T T T"
Sm 2.2949 9.3429 3.4510
Sm 2.2949 -9.3429 1.1503
Sn 2.2949 6.8831 1.1503
Sn 2.2949 4.0107 3.4510
Sn 2.2949 -4.0107 1.1503
Sn 2.2949 -6.8831 3.4510
Pb 2.2949 12.1742 1.1503
Pb 2.2949 1.5529 1.1503
Pb 2.2949 -1.5529 3.4510
Pb 2.2949 -12.1742 3.4510
```

Results
formation energy from the elements: -0.34 eV per atom



(5)
An optimized crystal structure of BaTe2W, computed with PBE.

Geometry as extended XYZ:
```
4
Lattice="5.5098 0.0000 0.0000 0.0000 5.5098 0.0000 0.0000 0.0000 3.8068" Properties=species:S:1:pos:R:3 pbc="T T T"
Ba 0.0000 0.0000 0.0000
Te 0.0000 2.7549 1.9034
Te 2.7549 0.0000 1.9034
W 2.7549 2.7549 0.0000
```

Results
ΔE_f (raw): 1.3 eV per formula unit
energy above the lowest structure with this stoichiometry: 549 meV/atom



(6)
An optimized crystal structure of YMnAs2, computed with PBE.

Geometry as extended XYZ:
```
4
Lattice="3.3681 0.0000 0.0000 0.0000 3.3681 0.0000 0.0000 0.0000 6.8787" Properties=species:S:1:pos:R:3 pbc="T T T"
Y 0.0000 0.0000 0.0000
Mn 0.0000 0.0000 3.4394
As 1.6840 1.6840 1.9545
As 1.6840 1.6840 4.9242
```

Results
formation energy from the elements: -0.34 eV per atom
energy above the lowest structure with this stoichiometry: 355 meV/atom



no.,calculated volume (Å³ per cell)
1,308.5
2,340.0
3,211.6
4,290.4
5,115.6
6,78.0